Compound: Tb3Pm6Nd2Sc
Source: Alexandria via LeMat-Bulk
Functional: PBE
Structure: relaxed

The crystal system is monoclinic. The energy is -115.9 eV per cell.

The space group is C2/m (No. 12) and the conventional cell measures 6.2434, 10.8127 and 11.9229 Å, with angles of 90.00, 100.08 and 90.00 degrees. The distinct sites, in fractional coordinates, are Tb at (0.0000, 0.0000, 0.0000), Tb at (0.0000, 0.3337, 0.0000), Pm at (0.2474, 0.3353, 0.7499), Pm at (0.2469, 0.5000, 0.2494), Nd at (0.0000, 0.1666, 0.5000) and Sc at (0.0000, 0.5000, 0.5000).

Compound: AcZn3NiIr
Source: Alexandria via LeMat-Bulk
Functional: PBE
Structure: relaxed

The crystal system is orthorhombic. The energy is -96.7 eV per cell.

The space group is Cmcm (No. 63) and the conventional cell measures 6.3907, 12.5538 and 5.5811 Å, with angles of 90.00, 90.00 and 90.00 degrees. The distinct sites, in fractional coordinates, are Ac at (0.0000, 0.2278, 0.2500), Zn at (0.0000, 0.3564, 0.7500), Zn at (0.2049, 0.0000, 0.0000), Ni at (0.0000, 0.4532, 0.2500) and Ir at (0.0000, 0.1492, 0.7500).